VASP calculation (PBE-GGA) on crystalline Hf8CoSn2 at its relaxed geometry.

Cell: 16.209 4.948 5.758 Å, 90.00 90.62 90.00°
Space group C2/m (No. 12)
Unique sites:
Hf  0.038  0.000  0.260 (multiplicity 4)
Hf  0.083  0.500  0.593 (multiplicity 4)
Hf  0.148  0.500  0.109 (multiplicity 4)
Hf  0.229  0.000  0.337 (multiplicity 4)
Co  0.000  0.500  0.000 (multiplicity 2)
Sn  0.162  0.000  0.815 (multiplicity 4)

Values from the calculation:
Energy relative to the elements: -193 kJ/mol of formula units